[1]
Entry from Alexandria via LeMat-Bulk: a relaxed structure of DyThSe2 (PBE-GGA).

Values from the calculation:
- total energy (eV per atom) = -5.99
- energy relative to the elements, uncorrected (eV/atom) = -1.244

a = 4.128 Å, b = 6.676 Å, c = 9.170 Å
α = 90.00°, β = 90.01°, γ = 90.00°
Fractional coordinates of all 8 atoms:
Se: 0.201 0.036 0.011
Dy: 0.201 0.796 0.273
Se: 0.701 0.536 0.205
Se: 0.701 0.664 0.803
Dy: 0.701 0.296 0.943
Th: 0.701 0.438 0.534
Se: 0.201 0.164 0.413
Th: 0.201 0.938 0.682

---

[2]
Entry from Alexandria via LeMat-Bulk: a relaxed structure of TbY (PBE-GGA).

Values from the calculation:
- total energy (eV per atom) = -5.51
- energy of formation from the pure elements (eV/atom) = 0.0385

a = 3.551 Å, b = 5.538 Å, c = 6.809 Å
α = 89.99°, β = 105.11°, γ = 90.00°
Fractional coordinates of all 4 atoms:
Y: 0.174 0.250 0.348
Y: 0.826 0.750 0.652
Tb: 0.564 0.750 0.128
Tb: 0.436 0.250 0.872

---

[3]
Entry from Alexandria via LeMat-Bulk: a relaxed structure of SrPuAs2 (PBE-GGA).

Values from the calculation:
- total energy (eV per atom) = -7.15
- energy of formation from the pure elements (eV/atom) = -0.8178

a = 3.764 Å, b = 3.764 Å, c = 7.067 Å
α = 90.00°, β = 90.00°, γ = 90.00°
Last column: magnetic moment on the atom in μB.
Fractional coordinates of all 4 atoms:
As: 0.000 0.000 0.219  -0.12
As: 0.000 0.000 0.781  -0.12
Sr: 0.500 0.500 0.500  -0.01
Pu: 0.500 0.500 0.000  5.12

---

[4]
Entry from Alexandria via LeMat-Bulk: a relaxed structure of Ca4AlW (PBE-GGA).

Values from the calculation:
- total energy (eV per atom) = -3.02
- energy of formation from the pure elements (eV/atom) = 1.0976

a = 6.231 Å, b = 6.231 Å, c = 6.231 Å
α = 60.00°, β = 60.00°, γ = 60.00°
Last column: magnetic moment on the atom in μB.
Fractional coordinates of all 6 atoms:
W: 0.750 0.750 0.750  2.22
Ca: 0.376 0.376 0.873  -0.01
Ca: 0.376 0.376 0.376  -0.01
Al: 0.000 0.000 0.000  -0.04
Ca: 0.376 0.873 0.376  -0.01
Ca: 0.873 0.376 0.376  -0.01

---

[5]
Entry from Alexandria via LeMat-Bulk: a relaxed structure of Tb2Y7Tm4 (PBE-GGA).

Values from the calculation:
- total energy (eV per atom) = -5.43
- energy of formation from the pure elements (eV/atom) = 0.1359

a = 6.806 Å, b = 6.419 Å, c = 11.665 Å
α = 87.83°, β = 81.55°, γ = 122.93°
Fractional coordinates of all 13 atoms:
Y: 0.504 0.570 0.247
Tb: 0.428 0.715 0.986
Tm: 0.134 0.973 0.602
Tm: 0.866 0.027 0.398
Y: 0.496 0.430 0.753
Y: 0.942 0.434 0.181
Y: 0.058 0.566 0.819
Tm: 0.268 0.555 0.528
Y: 0.326 0.960 0.300
Tm: 0.732 0.445 0.472
Y: 0.000 0.000 0.000
Y: 0.674 0.040 0.700
Tb: 0.572 0.285 0.014

---

[6]
Entry from Alexandria via LeMat-Bulk: a relaxed structure of PrTh4Au5 (PBE-GGA).

Values from the calculation:
- total energy (eV per atom) = -5.68
- energy of formation from the pure elements (eV/atom) = -0.5926

a = 3.727 Å, b = 3.727 Å, c = 18.602 Å
α = 90.00°, β = 90.00°, γ = 90.00°
Fractional coordinates of all 10 atoms:
Th: 0.000 0.000 0.599
Th: 0.000 0.000 0.401
Au: 0.500 0.500 0.102
Au: 0.500 0.500 0.301
Au: 0.500 0.500 0.898
Th: 0.000 0.000 0.799
Au: 0.500 0.500 0.699
Pr: 0.000 0.000 0.000
Th: 0.000 0.000 0.201
Au: 0.500 0.500 0.500

---

[7]
Entry from Alexandria via LeMat-Bulk: a relaxed structure of La4CdPb (PBE-GGA).

Values from the calculation:
- total energy (eV per atom) = -4.21
- energy of formation from the pure elements (eV/atom) = -0.1517

a = 5.569 Å, b = 6.507 Å, c = 6.507 Å
α = 96.04°, β = 64.70°, γ = 64.70°
Fractional coordinates of all 6 atoms:
La: 0.255 0.414 0.079
Cd: 0.000 0.000 0.000
La: 0.255 0.079 0.414
La: 0.745 0.586 0.921
La: 0.745 0.921 0.586
Pb: 0.500 0.500 0.500

---

[8]
Entry from Alexandria via LeMat-Bulk: a relaxed structure of Ta3GeB (PBE-GGA).

Values from the calculation:
- total energy (eV per atom) = -9.25
- energy of formation from the pure elements (eV/atom) = 0.1204

a = 4.336 Å, b = 4.336 Å, c = 4.336 Å
α = 90.00°, β = 90.00°, γ = 90.00°
Fractional coordinates of all 5 atoms:
B: 0.000 0.000 0.000
Ta: 0.000 0.500 0.000
Ta: 0.500 0.000 0.000
Ge: 0.500 0.500 0.500
Ta: 0.000 0.000 0.500

---

[9]
Entry from Alexandria via LeMat-Bulk: a relaxed structure of MgTa2Os (PBE-GGA).

Values from the calculation:
- total energy (eV per atom) = -9.11
- energy of formation from the pure elements (eV/atom) = 0.0184

a = 5.409 Å, b = 5.409 Å, c = 4.595 Å
α = 64.88°, β = 64.88°, γ = 34.95°
Fractional coordinates of all 4 atoms:
Mg: 0.750 0.750 0.750
Ta: 0.522 0.522 0.478
Os: 0.250 0.250 0.250
Ta: 0.978 0.978 0.022

---

[10]
Entry from Alexandria via LeMat-Bulk: a relaxed structure of UV2Sn (PBE-GGA).

Values from the calculation:
- total energy (eV per atom) = -8.31
- energy of formation from the pure elements (eV/atom) = 0.0713

a = 3.432 Å, b = 4.511 Å, c = 4.511 Å
α = 90.00°, β = 90.00°, γ = 90.00°
Last column: magnetic moment on the atom in μB.
Fractional coordinates of all 4 atoms:
V: 0.000 0.000 0.500  0.23
U: 0.500 0.500 0.500  0.58
V: 0.000 0.500 0.000  0.23
Sn: 0.500 0.000 0.000  -0.01

---

[11]
Entry from Alexandria via LeMat-Bulk: a relaxed structure of MnCdSb2 (PBE-GGA).

Values from the calculation:
- total energy (eV per atom) = -4.40
- energy relative to the elements, uncorrected (eV/atom) = 0.181

a = 5.637 Å, b = 4.022 Å, c = 4.290 Å
α = 89.97°, β = 90.00°, γ = 90.00°
Last column: magnetic moment on the atom in μB.
Fractional coordinates of all 4 atoms:
Sb: 0.000 0.878 0.955  -0.07
Sb: 0.500 0.371 0.280  -0.08
Mn: 0.500 0.872 0.793  3.87
Cd: 0.000 0.379 0.472  0.01

---

[12]
Entry from Alexandria via LeMat-Bulk: a relaxed structure of Sr3Tb3DyS8 (PBE-GGA).

Values from the calculation:
- total energy (eV per atom) = -5.86
- energy relative to the elements, uncorrected (eV/atom) = -2.089

a = 8.026 Å, b = 8.025 Å, c = 8.282 Å
α = 118.98°, β = 90.00°, γ = 120.00°
Fractional coordinates of all 15 atoms:
Sr: 0.000 0.500 0.000
S: 0.240 0.480 0.724
S: 0.744 0.984 0.724
S: 0.760 0.520 0.276
S: 0.256 0.016 0.276
Tb: 0.500 0.000 0.500
S: 0.743 0.487 0.730
Sr: 0.000 0.000 0.000
Tb: 0.500 0.500 0.500
Sr: 0.500 0.500 0.000
S: 0.257 0.513 0.270
Tb: 0.000 0.500 0.500
S: 0.760 0.016 0.276
S: 0.240 0.984 0.724
Dy: 0.000 0.000 0.500

---

Number 1: ρ 7.3 g/cm3, density of states at the Fermi level 7.71 states/eV per cell. Number 2: ρ 6.4 g/cm3, density of states at the Fermi level 7.79 states/eV per cell. Number 3: ρ 8.0 g/cm3, density of states at the Fermi level 12.43 states/eV per cell. Number 4: ρ 3.6 g/cm3, density of states at the Fermi level 5.71 states/eV per cell. Number 5: ρ 6.4 g/cm3, density of states at the Fermi level 19.73 states/eV per cell. Number 6: ρ 13.2 g/cm3, density of states at the Fermi level 10.59 states/eV per cell. Number 7: ρ 8.1 g/cm3, density of states at the Fermi level 8.99 states/eV per cell. Number 8: ρ 12.8 g/cm3, density of states at the Fermi level 9.29 states/eV per cell. Number 9: ρ 13.9 g/cm3, density of states at the Fermi level 3.15 states/eV per cell. Number 10: ρ 10.9 g/cm3, density of states at the Fermi level 7.53 states/eV per cell. Number 11: ρ 7.0 g/cm3, density of states at the Fermi level 1.49 states/eV per cell. Number 12: ρ 5.0 g/cm3, density of states at the Fermi level 4.56 states/eV per cell.